Record 1
K3Cr5F12 | PBE with a Hubbard U | optimized geometry

abc: 12.0030 12.0030 12.0030
angles: 109.47 109.47 109.47
Last column: magnetic moment on the atom in μB.
Fractional coordinates of all 80 atoms:
K 0.7500 0.3750 0.1250  0.00
K 0.8750 0.7500 0.1250  0.00
K 0.3750 0.7500 0.6250  0.00
K 0.2500 0.1250 0.3750  0.00
K 0.8750 0.1250 0.2500  0.00
K 0.3750 0.6250 0.2500  0.00
K 0.6250 0.3750 0.7500  0.00
K 0.1250 0.8750 0.7500  0.00
K 0.7500 0.8750 0.6250  0.00
K 0.6250 0.2500 0.3750  0.00
K 0.1250 0.2500 0.8750  0.00
K 0.2500 0.6250 0.8750  0.00
Cr 0.1250 0.3750 0.2500  4.35
Cr 0.0000 0.5000 0.0000  3.39
Cr 0.0000 0.0000 0.0000  3.39
Cr 0.3750 0.2500 0.1250  4.35
Cr 0.5000 0.0000 0.5000  3.39
Cr 0.5000 0.5000 0.0000  3.39
Cr 0.1250 0.7500 0.3750  4.35
Cr 0.7500 0.1250 0.8750  4.35
Cr 0.7500 0.6250 0.3750  4.35
Cr 0.3750 0.1250 0.7500  4.35
Cr 0.6250 0.8750 0.2500  4.35
Cr 0.5000 0.5000 0.5000  3.39
Cr 0.5000 0.0000 0.0000  3.39
Cr 0.0000 0.0000 0.5000  3.39
Cr 0.2500 0.3750 0.6250  4.35
Cr 0.2500 0.8750 0.1250  4.35
Cr 0.0000 0.5000 0.5000  3.39
Cr 0.8750 0.2500 0.6250  4.35
Cr 0.6250 0.7500 0.8750  4.35
Cr 0.8750 0.6250 0.7500  4.35
F 0.6800 0.1083 0.0157  -0.01
F 0.3357 0.5157 0.4074  -0.01
F 0.9843 0.3917 0.3200  -0.01
F 0.5157 0.1800 0.1083  -0.01
F 0.5717 0.6800 0.6643  -0.01
F 0.9843 0.5926 0.1643  -0.01
F 0.3357 0.8200 0.4283  -0.01
F 0.0926 0.9283 0.1083  -0.01
F 0.5926 0.9843 0.6643  -0.01
F 0.6800 0.5717 0.1643  -0.01
F 0.8200 0.4843 0.3917  -0.01
F 0.8357 0.9074 0.0157  -0.01
F 0.1083 0.6800 0.5157  -0.01
F 0.3917 0.4074 0.0717  -0.01
F 0.0717 0.9074 0.3917  -0.01
F 0.4283 0.1083 0.5926  -0.01
F 0.0717 0.1643 0.1800  -0.01
F 0.4843 0.6643 0.0926  -0.01
F 0.8357 0.9283 0.3200  -0.01
F 0.1083 0.4283 0.0926  -0.01
F 0.3917 0.9843 0.8200  -0.01
F 0.5926 0.6083 0.4283  -0.01
F 0.9074 0.8357 0.5157  -0.01
F 0.8200 0.3357 0.9283  -0.01
F 0.4074 0.3917 0.5717  -0.01
F 0.0926 0.1643 0.4843  -0.01
F 0.1800 0.6643 0.0717  -0.01
F 0.1643 0.0717 0.6800  -0.01
F 0.6083 0.0157 0.1800  -0.01
F 0.8917 0.5717 0.9074  -0.01
F 0.5157 0.3357 0.9074  -0.01
F 0.5717 0.8917 0.4074  -0.01
F 0.9283 0.8357 0.8200  -0.01
F 0.9283 0.0926 0.6083  -0.01
F 0.8917 0.3200 0.4843  -0.01
F 0.1643 0.0926 0.9843  -0.01
F 0.6083 0.5926 0.9283  -0.01
F 0.4074 0.0157 0.3357  -0.01
F 0.3200 0.4283 0.8357  -0.01
F 0.1800 0.5157 0.6083  -0.01
F 0.9074 0.0717 0.8917  -0.01
F 0.6643 0.1800 0.5717  -0.01
F 0.4843 0.8200 0.8917  -0.01
F 0.0157 0.4074 0.8357  -0.01
F 0.4283 0.3200 0.3357  -0.01
F 0.0157 0.6083 0.6800  -0.01
F 0.6643 0.4843 0.5926  -0.01
F 0.3200 0.8917 0.9843  -0.01

## Properties
E_tot	-5.560	eV/atom
symmetry	Ia-3d

***

Record 2
KCr2F6 | PBE with a Hubbard U | optimized geometry

abc: 5.6213 5.5118 5.5118
angles: 120.00 90.00 90.00
Last column: magnetic moment on the atom in μB.
Fractional coordinates of all 9 atoms:
K 0.0000 0.0000 0.0000  0.00
Cr 0.5000 0.6667 0.3333  3.43
Cr 0.5000 0.3333 0.6667  3.43
F 0.6906 0.6255 0.6255  -0.01
F 0.3094 0.6255 0.0000  -0.01
F 0.3094 0.0000 0.6255  -0.01
F 0.6906 0.3745 0.0000  -0.01
F 0.3094 0.3745 0.3745  -0.01
F 0.6906 0.0000 0.3745  -0.01

## Properties
energy above the lowest structure with this stoichiometry	7	meV per atom
symmetry	P-31m

***

Record 3
K2CrF | PBE with a Hubbard U | optimized geometry

abc: 7.8943 7.8943 7.3795
angles: 57.66 57.66 90.00
Last column: magnetic moment on the atom in μB.
Fractional coordinates of all 8 atoms:
Cr 0.0000 0.0000 0.0000  4.51
Cr 0.7500 0.2500 0.5000  4.51
K 0.5041 0.1250 0.2500  0.00
K 0.2459 0.6250 0.2500  0.00
K 0.3750 0.4959 0.7500  0.00
K 0.8750 0.7541 0.7500  0.00
F 0.5000 0.5000 0.0000  0.00
F 0.2500 0.7500 0.5000  0.00

## Properties
energy above the lowest structure with this stoichiometry	0	meV per atom
symmetry	I-42d

***

Record 4
KCr2F6 | PBE with a Hubbard U | optimized geometry

abc: 4.2222 5.4665 7.6295
angles: 72.66 73.94 67.28
Last column: magnetic moment on the atom in μB.
Fractional coordinates of all 9 atoms:
K 0.0000 0.5000 0.5000  0.00
Cr 0.1707 0.7393 0.9193  3.42
Cr 0.8293 0.2607 0.0807  3.42
F 0.6920 0.6674 0.9485  -0.02
F 0.3080 0.3326 0.0515  -0.02
F 0.9887 0.8565 0.1662  -0.01
F 0.3280 0.6695 0.6745  0.01
F 0.0113 0.1435 0.8338  -0.01
F 0.6720 0.3305 0.3255  0.01

## Properties
energy above the lowest structure with this stoichiometry	0	meV per atom
symmetry	C2/m

***

| no. | calculated volume (Å³ per cell) |
| --- | --- |
| 1 | 1331 |
| 2 | 148 |
| 3 | 301 |
| 4 | 152 |